Entry 1:
The following is a DFT calculation (PBE-GGA) of an optimized crystal structure of KFeHg2.

abc: 5.4710 8.2446 3.1665
angles: 67.35 90.05 129.94
Closest atoms and distances in Å follow each position.
Atoms (fractional coordinates):
Hg: 0.0000 0.5000 0.5000  4 K 3.16, 4 Fe 3.16, 2 Hg 3.17
Hg: 0.0000 0.0000 0.0000  4 Fe 3.16, 4 K 3.16, 2 Hg 3.17
Fe: 0.5000 0.0000 0.5000  8 Hg 3.16, 2 Fe 3.17
K: 0.5000 0.5000 0.0000  8 Hg 3.16, 2 K 3.17

Properties
Its space-group type is Cmmm. Its crystal system is orthorhombic. Its offset from the most stable computed form is 195 meV/atom. The total energy is -2.063 eV/atom. Its total magnetic moment is 0.6786 μB per atom. As for the formation enthalpy at 0 K: 0.48 eV per atom.

Entry 2:
The following is a DFT calculation (PBE-GGA) of an optimized crystal structure of KFeHg2.

abc: 3.4189 3.4189 8.2894
angles: 90.00 90.00 90.00
Closest atoms and distances in Å follow each position.
Atoms (fractional coordinates):
Hg: 0.0000 0.0000 0.5642  4 Fe 2.87, 1 Hg 3.08
K: 0.5000 0.5000 0.2500  4 K 3.42, 8 Hg 3.55
Fe: 0.5000 0.5000 0.7500  8 Hg 2.87
Hg: 0.0000 0.0000 0.9358  4 Fe 2.87, 1 Hg 3.08

Properties
Its space-group type is P4/mmm. Its crystal system is tetragonal. Its offset from the most stable computed form is 0 meV/atom. The total energy is -2.258 eV/atom. Its total magnetic moment is 0.7752 μB per atom. As for the formation enthalpy at 0 K: 0.28 eV per atom.

Entry 3:
The following is a DFT calculation (PBE-GGA) of an optimized crystal structure of KFeHg.

abc: 4.5506 4.5506 4.9418
angles: 90.00 90.00 120.00
Closest atoms and distances in Å follow each position.
Atoms (fractional coordinates):
Fe: 0.0000 0.0000 0.1666  3 Hg 2.63
K: 0.3333 0.6667 0.6668  6 Hg 3.61, 6 Fe 3.61
Hg: 0.6667 0.3333 0.1665  3 Fe 2.63

Properties
Its space-group type is P-6m2. Its crystal system is hexagonal. Its offset from the most stable computed form is 72 meV/atom. The total energy is -2.684 eV/atom. Its total magnetic moment is 0.9175 μB per atom. As for the formation enthalpy at 0 K: 0.60 eV per atom.